This record from Alexandria via LeMat-Bulk describes an optimized crystal structure of MgZnCo2. The functional is PBE-GGA.

Summary:
symmetry	Imm2
M_tot	2.715	μB per formula unit
energy of formation	0.0712	eV/atom

Cell lengths 5.004, 5.004, 5.004 Å; angles 145.94, 129.34, 62.46 degrees
Last column: magnetic moment on the atom in μB.
Positions (direct):
Co (0.014, 0.014, 0.000)  1.41
Co (0.227, 0.727, 0.500)  1.48
Mg (0.491, 0.491, 0.000)  -0.02
Zn (0.768, 0.268, 0.500)  -0.04